Model P:
Material: Y5TmSc4
Method: DFT, PBE-GGA
State: relaxed

Properties
* spin magnetization: 0.00 μB per formula unit

Cell lengths 8.493, 8.493, 6.823 Å; angles 90.32, 90.32, 36.02 degrees
Atoms (fractional coordinates):
Y 0.000 0.000 0.000
Y 0.187 0.187 0.258
Y 0.384 0.384 0.741
Y 0.590 0.590 0.739
Y 0.777 0.777 0.999
Tm 0.393 0.393 0.253
Sc 0.187 0.187 0.746
Sc 0.589 0.589 0.252
Sc 0.778 0.778 0.502
Sc 0.999 0.999 0.493

=====

Model Q:
Material: Y5TmSc4
Method: DFT, PBE-GGA
State: relaxed

Properties
* spin magnetization: 0.32 μB per formula unit

Cell lengths 7.606, 7.606, 7.606 Å; angles 99.39, 99.39, 132.36 degrees
Atoms (fractional coordinates):
Y 0.000 0.000 0.000
Y 0.479 0.576 0.607
Y 0.576 0.969 0.097
Y 0.871 0.479 0.903
Y 0.969 0.871 0.393
Tm 0.457 0.457 0.000
Sc 0.170 0.584 0.303
Sc 0.281 0.867 0.697
Sc 0.584 0.281 0.415
Sc 0.867 0.170 0.585

=====

Which of them is most stable? Easy: model P.

=====

Model P:
Material: YTm2Sc6
Method: DFT, PBE-GGA
State: relaxed

Properties
* spin magnetization: 1.42 μB per formula unit

Cell lengths 3.388, 3.388, 24.313 Å; angles 90.00, 90.00, 120.00 degrees
Atoms (fractional coordinates):
Y 0.000 0.000 0.000
Tm 0.333 0.667 0.328
Tm 0.333 0.667 0.672
Sc 0.000 0.000 0.217
Sc 0.000 0.000 0.438
Sc 0.000 0.000 0.562
Sc 0.000 0.000 0.783
Sc 0.333 0.667 0.114
Sc 0.333 0.667 0.886

=====

Model Q:
Material: YTm2Sc6
Method: DFT, PBE-GGA
State: relaxed

Properties
* spin magnetization: 0.04 μB per formula unit

Cell lengths 9.130, 9.130, 3.307 Å; angles 90.00, 90.00, 120.04 degrees
Atoms (fractional coordinates):
Y 0.000 0.000 0.000
Tm 0.333 0.667 0.000
Tm 0.667 0.333 0.000
Sc 0.000 0.335 0.500
Sc 0.000 0.665 0.500
Sc 0.334 0.334 0.500
Sc 0.335 0.000 0.500
Sc 0.665 0.000 0.500
Sc 0.666 0.666 0.500

=====

Which of them is most stable? Easy: model Q.

=====

Model P:
Material: YTm4Sc5
Method: DFT, PBE-GGA
State: relaxed

Properties
* spin magnetization: 0.00 μB per formula unit

Cell lengths 7.473, 7.473, 7.473 Å; angles 99.37, 99.37, 132.41 degrees
Atoms (fractional coordinates):
Y 0.000 0.000 0.000
Tm 0.171 0.877 0.605
Tm 0.272 0.566 0.395
Tm 0.566 0.171 0.294
Tm 0.877 0.272 0.706
Sc 0.461 0.461 0.000
Sc 0.484 0.857 0.912
Sc 0.572 0.484 0.627
Sc 0.857 0.945 0.373
Sc 0.945 0.572 0.088

=====

Model Q:
Material: YTm4Sc5
Method: DFT, PBE-GGA
State: relaxed

Properties
* spin magnetization: 0.00 μB per formula unit

Cell lengths 7.765, 7.765, 9.672 Å; angles 126.48, 126.48, 39.92 degrees
Atoms (fractional coordinates):
Y 0.000 0.000 0.000
Tm 0.246 0.246 0.866
Tm 0.254 0.254 0.376
Tm 0.746 0.746 0.624
Tm 0.754 0.754 0.134
Sc 0.053 0.053 0.402
Sc 0.451 0.451 0.790
Sc 0.500 0.500 0.500
Sc 0.549 0.549 0.210
Sc 0.947 0.947 0.598

=====

Which of them is most stable? Easy: model Q.

=====

Model P:
Material: YTm2Sc5
Method: DFT, PBE-GGA
State: relaxed

Properties
* spin magnetization: 0.00 μB per formula unit

Cell lengths 6.320, 6.320, 7.955 Å; angles 124.16, 124.16, 65.52 degrees
Atoms (fractional coordinates):
Y 0.000 0.000 0.000
Tm 0.492 0.492 0.002
Tm 0.574 0.574 0.661
Sc 0.076 0.076 0.658
Sc 0.078 0.583 0.170
Sc 0.493 0.992 0.495
Sc 0.583 0.078 0.170
Sc 0.992 0.493 0.495

=====

Model Q:
Material: YTm2Sc5
Method: DFT, PBE-GGA
State: relaxed

Properties
* spin magnetization: 0.00 μB per formula unit

Cell lengths 6.695, 6.695, 6.695 Å; angles 119.45, 119.45, 90.96 degrees
Atoms (fractional coordinates):
Y 0.000 0.000 0.000
Tm 0.000 0.500 0.500
Tm 0.500 0.000 0.500
Sc 0.000 0.000 0.500
Sc 0.000 0.500 0.000
Sc 0.500 0.000 0.000
Sc 0.500 0.500 0.000
Sc 0.500 0.500 0.500

=====

Which of them is most stable? Easy: model P.

=====

Model P:
Material: Y2Tm3Sc2
Method: DFT, PBE-GGA
State: relaxed

Properties
* spin magnetization: 0.00 μB per formula unit

Cell lengths 8.163, 8.163, 8.163 Å; angles 109.47, 109.47, 109.47 degrees
Atoms (fractional coordinates):
Y 0.000 0.804 0.500
Y 0.500 0.000 0.804
Y 0.696 0.696 0.696
Y 0.804 0.500 0.000
Tm 0.185 0.750 0.935
Tm 0.250 0.565 0.315
Tm 0.315 0.250 0.565
Tm 0.565 0.315 0.250
Tm 0.750 0.935 0.185
Tm 0.935 0.185 0.750
Sc 0.000 0.398 0.500
Sc 0.102 0.102 0.102
Sc 0.398 0.500 0.000
Sc 0.500 0.000 0.398

=====

Model Q:
Material: Y2Tm3Sc2
Method: DFT, PBE-GGA
State: relaxed

Properties
* spin magnetization: 0.00 μB per formula unit

Cell lengths 6.244, 10.421, 6.380 Å; angles 90.00, 92.63, 90.00 degrees
Atoms (fractional coordinates):
Y 0.142 0.240 0.248
Y 0.142 0.260 0.748
Y 0.858 0.740 0.252
Y 0.858 0.760 0.752
Tm 0.000 0.000 0.000
Tm 0.000 0.500 0.500
Tm 0.256 0.557 0.030
Tm 0.256 0.943 0.530
Tm 0.744 0.057 0.470
Tm 0.744 0.443 0.970
Sc 0.444 0.645 0.532
Sc 0.444 0.855 0.032
Sc 0.556 0.145 0.968
Sc 0.556 0.355 0.468

=====

Which of them is most stable? Easy: model Q.

=====

Model P:
Material: YTm8Sc2
Method: DFT, PBE-GGA
State: relaxed

Properties
* spin magnetization: 0.00 μB per formula unit

Cell lengths 9.316, 9.316, 5.768 Å; angles 107.25, 107.25, 122.77 degrees
Atoms (fractional coordinates):
Y 0.000 0.000 0.000
Tm 0.096 0.356 0.712
Tm 0.204 0.796 0.000
Tm 0.356 0.096 0.712
Tm 0.469 0.469 0.231
Tm 0.531 0.531 0.769
Tm 0.644 0.904 0.288
Tm 0.796 0.204 0.000
Tm 0.904 0.644 0.288
Sc 0.312 0.688 0.500
Sc 0.688 0.312 0.500

=====

Model Q:
Material: YTm8Sc2
Method: DFT, PBE-GGA
State: relaxed

Properties
* spin magnetization: 0.00 μB per formula unit

Cell lengths 9.057, 9.057, 9.057 Å; angles 146.11, 126.85, 64.54 degrees
Atoms (fractional coordinates):
Y 0.000 0.000 0.000
Tm 0.152 0.857 0.295
Tm 0.162 0.662 0.500
Tm 0.300 0.500 0.800
Tm 0.438 0.143 0.295
Tm 0.562 0.857 0.705
Tm 0.700 0.500 0.200
Tm 0.838 0.338 0.500
Tm 0.848 0.143 0.705
Sc 0.298 0.298 0.000
Sc 0.702 0.702 0.000

=====

Which of them is most stable? Easy: model Q.

=====

Model P:
Material: Y6TmSc3
Method: DFT, PBE-GGA
State: relaxed

Properties
* spin magnetization: 0.00 μB per formula unit

Cell lengths 10.650, 10.650, 6.188 Å; angles 90.00, 90.00, 121.18 degrees
Atoms (fractional coordinates):
Y 0.042 0.448 0.014
Y 0.047 0.953 0.500
Y 0.296 0.371 0.829
Y 0.298 0.702 0.697
Y 0.371 0.296 0.329
Y 0.448 0.042 0.514
Y 0.552 0.958 0.014
Y 0.629 0.704 0.829
Y 0.702 0.298 0.197
Y 0.704 0.629 0.329
Y 0.953 0.047 0.000
Y 0.958 0.552 0.514
Tm 0.209 0.791 0.188
Tm 0.791 0.209 0.688
Sc 0.072 0.300 0.438
Sc 0.300 0.072 0.938
Sc 0.386 0.614 0.259
Sc 0.614 0.386 0.759
Sc 0.700 0.928 0.438
Sc 0.928 0.700 0.938

=====

Model Q:
Material: Y6TmSc3
Method: DFT, PBE-GGA
State: relaxed

Properties
* spin magnetization: 0.06 μB per formula unit

Cell lengths 3.549, 10.854, 16.473 Å; angles 73.17, 89.98, 80.59 degrees
Atoms (fractional coordinates):
Y 0.016 0.466 0.365
Y 0.182 0.135 0.442
Y 0.184 0.132 0.941
Y 0.383 0.731 0.242
Y 0.386 0.728 0.746
Y 0.417 0.666 0.958
Y 0.583 0.334 0.042
Y 0.614 0.272 0.254
Y 0.617 0.269 0.758
Y 0.816 0.868 0.059
Y 0.818 0.865 0.558
Y 0.984 0.534 0.635
Tm 0.217 0.067 0.660
Tm 0.783 0.933 0.340
Sc 0.018 0.465 0.859
Sc 0.217 0.065 0.159
Sc 0.416 0.668 0.456
Sc 0.584 0.332 0.544
Sc 0.783 0.935 0.841
Sc 0.982 0.535 0.141

=====

Which of them is most stable? Easy: model Q.

=====

Model P:
Material: YTm6Sc
Method: DFT, PBE-GGA
State: relaxed

Properties
* spin magnetization: 0.00 μB per formula unit

Cell lengths 6.411, 6.654, 6.699 Å; angles 118.16, 102.52, 92.28 degrees
Atoms (fractional coordinates):
Y 0.000 0.000 0.000
Tm 0.239 0.581 0.491
Tm 0.252 0.559 0.003
Tm 0.274 0.095 0.533
Tm 0.726 0.905 0.467
Tm 0.748 0.441 0.997
Tm 0.761 0.419 0.509
Sc 0.500 0.000 0.000

=====

Model Q:
Material: YTm6Sc
Method: DFT, PBE-GGA
State: relaxed

Properties
* spin magnetization: 0.00 μB per formula unit

Cell lengths 6.269, 6.273, 6.274 Å; angles 97.61, 97.69, 97.79 degrees
Atoms (fractional coordinates):
Y 0.000 0.000 0.000
Tm 0.051 0.562 0.267
Tm 0.267 0.051 0.562
Tm 0.438 0.733 0.949
Tm 0.562 0.267 0.051
Tm 0.733 0.949 0.438
Tm 0.949 0.438 0.733
Sc 0.500 0.500 0.500

=====

Which of them is most stable? Easy: model Q.

=====

Model P:
Material: Y2Tm5Sc
Method: DFT, PBE-GGA
State: relaxed

Properties
* spin magnetization: 0.00 μB per formula unit

Cell lengths 6.963, 6.963, 6.963 Å; angles 120.04, 119.97, 89.99 degrees
Atoms (fractional coordinates):
Y 0.000 0.000 0.000
Y 0.500 0.000 0.500
Tm 0.000 0.000 0.500
Tm 0.000 0.500 0.000
Tm 0.500 0.000 0.000
Tm 0.500 0.500 0.000
Tm 0.500 0.500 0.500
Sc 0.000 0.500 0.500

=====

Model Q:
Material: Y2Tm5Sc
Method: DFT, PBE-GGA
State: relaxed

Properties
* spin magnetization: 0.00 μB per formula unit

Cell lengths 6.469, 6.469, 15.368 Å; angles 90.00, 90.00, 130.32 degrees
Atoms (fractional coordinates):
Y 0.220 0.780 0.631
Y 0.220 0.780 0.869
Y 0.780 0.220 0.131
Y 0.780 0.220 0.369
Tm 0.082 0.918 0.093
Tm 0.082 0.918 0.407
Tm 0.385 0.615 0.051
Tm 0.385 0.615 0.449
Tm 0.462 0.538 0.750
Tm 0.538 0.462 0.250
Tm 0.615 0.385 0.551
Tm 0.615 0.385 0.949
Tm 0.918 0.082 0.593
Tm 0.918 0.082 0.907
Sc 0.267 0.733 0.250
Sc 0.733 0.267 0.750

=====

Which of them is most stable? Easy: model P.

=====

Model P:
Material: YTm2Sc4
Method: DFT, PBE-GGA
State: relaxed

Properties
* spin magnetization: 2.73 μB per formula unit

Cell lengths 6.450, 6.450, 6.450 Å; angles 103.46, 103.46, 122.32 degrees
Atoms (fractional coordinates):
Y 0.000 0.000 0.000
Tm 0.250 0.750 0.500
Tm 0.750 0.250 0.500
Sc 0.307 0.307 0.614
Sc 0.307 0.693 0.000
Sc 0.693 0.307 0.000
Sc 0.693 0.693 0.386

=====

Model Q:
Material: YTm2Sc4
Method: DFT, PBE-GGA
State: relaxed

Properties
* spin magnetization: 0.00 μB per formula unit

Cell lengths 7.632, 7.632, 3.357 Å; angles 90.00, 90.00, 92.72 degrees
Atoms (fractional coordinates):
Y 0.000 0.000 0.000
Tm 0.305 0.305 0.500
Tm 0.695 0.695 0.500
Sc 0.000 0.500 0.000
Sc 0.272 0.728 0.500
Sc 0.500 0.000 0.000
Sc 0.728 0.272 0.500

=====

Which of them is most stable? Easy: model Q.